1.
Compound: LiDyCoC
Source: Alexandria via LeMat-Bulk
Functional: GGA-PBE
Structure: optimized geometry

```
LiDyCoC
1.0
3.372 0.000 0.000
0.000 3.372 0.000
0.000 0.000 10.704
Li Dy Co C
2 2 2 2
Cartesian
0.843 2.529 0.000 Li
2.529 0.843 0.000 Li
0.843 0.843 3.033 Dy
2.529 2.529 7.671 Dy
0.843 2.529 5.352 Co
2.529 0.843 5.352 Co
0.843 0.843 6.449 C
2.529 2.529 4.255 C
```

* D(E_F): 0.71 states/eV/atom


2.
Compound: LiDy2CoC
Source: Alexandria via LeMat-Bulk
Functional: GGA-PBE
Structure: optimized geometry

```
LiDy2CoC
1.0
4.991 0.000 0.000
0.000 4.991 0.000
0.000 0.000 3.655
Li Dy Co C
1 2 1 1
Cartesian
0.000 0.000 0.000 Li
0.000 2.496 1.827 Dy
2.496 0.000 1.827 Dy
2.496 2.496 0.000 Co
2.496 2.496 1.827 C
```

* D(E_F): 0.54 states/eV/atom


no.,formation energy (eV/atom),total energy (eV/atom)
1,-0.06,-5.77
2,-0.22,-5.71